Entry 1:
First-principles (PBE-GGA) data for a relaxed structure of MgH3Ru, as listed in the Alexandria database.

Output
Volume in Å³ per cell: 85

POSCAR file:
```
MgH3Ru
1.0
-2.6009 1.4500 0.2250
0.2925 -0.4310 6.1597
2.2006 4.0765 -0.8327
H Ru Mg
6 2 2
direct
0.2500 0.6238 0.0394 H
0.7500 0.3762 0.9606 H
0.2500 0.0068 0.7193 H
0.7500 0.9932 0.2807 H
0.2500 0.3461 0.6396 H
0.7500 0.6539 0.3604 H
0.7500 0.1839 0.6577 Ru
0.2500 0.8161 0.3423 Ru
0.7500 0.7064 0.8029 Mg
0.2500 0.2936 0.1971 Mg
```

---

Entry 2:
First-principles (PBE-GGA) data for a relaxed structure of MgH4Ru, as listed in the Alexandria database.

Output
Volume in Å³ per cell: 104
Distance to the lowest polymorph of the same formula in meV per atom: 56

POSCAR file:
```
MgH4Ru
1.0
-1.3083 -4.3242 -0.5326
3.0143 -3.0460 1.5624
-1.7696 0.3040 5.2195
H Mg Ru
8 2 2
direct
0.9113 0.2474 0.3097 H
0.3675 0.3339 0.4993 H
0.5796 0.6895 0.4843 H
0.1076 0.7350 0.2024 H
0.3059 0.4253 0.9846 H
0.2660 0.8917 0.7015 H
0.6672 0.6308 0.9985 H
0.7518 0.0891 0.8109 H
0.1298 0.1048 0.0052 Mg
0.8941 0.8723 0.5061 Mg
0.5106 0.4911 0.7489 Ru
0.5086 0.4891 0.2487 Ru
```

---

Entry 3:
First-principles (PBE-GGA) data for a relaxed structure of MgHRu3, as listed in the Alexandria database.

Output
Volume in Å³ per cell: 61
Distance to the lowest polymorph of the same formula in meV per atom: 0

POSCAR file:
```
MgHRu3
1.0
-1.5442 -3.3323 -1.4312
3.5842 -1.1649 -1.1549
0.5534 -1.7538 3.4864
Ru H Mg
3 1 1
direct
0.0000 0.0000 0.5000 Ru
0.0000 0.5000 0.0000 Ru
0.5000 0.0000 0.0000 Ru
0.0000 0.0000 0.0000 H
0.5000 0.5000 0.5000 Mg
```

---

Entry 4:
First-principles (PBE-GGA) data for a relaxed structure of MgH2Ru, as listed in the Alexandria database.

Output
Volume in Å³ per cell: 36

POSCAR file:
```
MgH2Ru
1.0
-2.2484 0.5470 2.8992
-3.4649 1.2085 -0.5421
-2.8703 -2.2778 0.5768
H Ru Mg
2 1 1
direct
0.2500 0.2500 0.2500 H
0.7500 0.7500 0.7500 H
0.5000 0.5000 0.5000 Ru
0.0000 0.0000 0.0000 Mg
```

---

Entry 5:
First-principles (PBE-GGA) data for a relaxed structure of MgSc2HRu, as listed in the Alexandria database.

Output
Volume in Å³ per cell: 88
Distance to the lowest polymorph of the same formula in meV per atom: 1065

POSCAR file:
```
MgSc2HRu
1.0
5.2238 0.0000 0.0000
0.0000 3.2396 0.0000
0.0000 0.0000 5.2238
H Ru Sc Mg
1 1 2 1
direct
0.0000 0.5000 0.0000 H
0.5000 0.5000 0.5000 Ru
0.5000 0.0000 0.0000 Sc
0.0000 0.0000 0.5000 Sc
0.0000 0.0000 0.0000 Mg
```

---

Entry 6:
First-principles (PBE-GGA) data for a relaxed structure of MgSc2HRu, as listed in the Alexandria database.

Output
Volume in Å³ per cell: 78
Distance to the lowest polymorph of the same formula in meV per atom: 0

POSCAR file:
```
MgSc2HRu
1.0
-4.3876 -1.3834 -0.4844
1.0883 -2.0505 -4.0014
0.7767 -3.0921 1.7958
Mg Sc H Ru
1 2 1 1
direct
0.5000 0.5000 0.5000 Mg
0.5000 0.0000 0.0000 Sc
0.0000 0.5000 0.0000 Sc
0.0000 0.0000 0.0000 H
0.0000 0.0000 0.5000 Ru
```

---

Entry 7:
First-principles (PBE-GGA) data for a relaxed structure of MgScHRu2, as listed in the Alexandria database.

Output
Volume in Å³ per cell: 67

POSCAR file:
```
MgScHRu2
1.0
4.0631 0.0000 0.0000
0.0000 4.0631 0.0000
0.0000 0.0000 4.0450
Mg Ru Sc H
1 2 1 1
direct
0.5000 0.5000 0.5000 Mg
0.0000 0.5000 0.0000 Ru
0.5000 0.0000 0.0000 Ru
0.0000 0.0000 0.5000 Sc
0.0000 0.0000 0.0000 H
```

---

Entry 8:
First-principles (PBE-GGA) data for a relaxed structure of MgSnHRu2, as listed in the Alexandria database.

Output
Volume in Å³ per cell: 66

POSCAR file:
```
MgSnHRu2
1.0
-1.3510 0.7678 -3.8469
-3.4572 -2.1555 0.7840
-1.7190 3.2098 1.2444
Ru Sn H Mg
2 1 1 1
direct
0.5000 0.0000 0.0000 Ru
0.0000 0.5000 0.0000 Ru
0.5000 0.5000 0.5000 Sn
0.0000 0.0000 0.0000 H
0.0000 0.0000 0.5000 Mg
```

---

Entry 9:
First-principles (PBE-GGA) data for a relaxed structure of Mg2SnHRu, as listed in the Alexandria database.

Output
Volume in Å³ per cell: 74

POSCAR file:
```
Mg2SnHRu
1.0
-1.0292 4.2472 -0.6987
-3.8210 -1.2323 -1.8621
-1.6902 0.1451 3.3722
Sn H Mg Ru
1 1 2 1
direct
0.5000 0.5000 0.5000 Sn
0.0000 0.0000 0.0000 H
0.5000 0.0000 0.0000 Mg
0.0000 0.5000 0.0000 Mg
0.0000 0.0000 0.5000 Ru
```

---

Entry 10:
First-principles (PBE-GGA) data for a relaxed structure of Sr2MgH6Ru, as listed in the Alexandria database.

Output
Volume in Å³ per cell: 134

POSCAR file:
```
Sr2MgH6Ru
1.0
-3.4234 -0.3184 3.7624
-3.9403 -1.1686 -3.6842
2.9165 -4.0778 2.3087
H Sr Ru Mg
6 2 1 1
direct
0.7971 0.1518 0.3037 H
0.2029 0.8482 0.1518 H
0.2029 0.3037 0.1518 H
0.7971 0.1518 0.8482 H
0.2029 0.8482 0.6963 H
0.7971 0.6963 0.8482 H
0.1959 0.3333 0.6667 Sr
0.8041 0.6667 0.3333 Sr
0.0000 0.0000 0.0000 Ru
0.5000 0.0000 0.0000 Mg
```

---

Entry 11:
First-principles (PBE-GGA) data for a relaxed structure of MgTcHRu2, as listed in the Alexandria database.

Output
Volume in Å³ per cell: 68

POSCAR file:
```
MgTcHRu2
1.0
-4.3881 -1.4160 -1.1871
0.7116 -2.8060 0.7167
-1.4573 0.7713 4.4667
H Tc Ru Mg
1 1 2 1
direct
0.0000 0.5000 0.0000 H
0.5000 0.5000 0.5000 Tc
0.5000 0.0000 0.0000 Ru
0.0000 0.0000 0.5000 Ru
0.0000 0.0000 0.0000 Mg
```

---

Entry 12:
First-principles (PBE-GGA) data for a relaxed structure of ThMgH8Ru2, as listed in the Alexandria database.

Output
Volume in Å³ per cell: 129

POSCAR file:
```
ThMgH8Ru2
1.0
4.7203 0.0000 0.0000
-2.3602 4.0879 0.0000
0.0000 0.0000 6.6609
Mg Th H Ru
1 1 8 2
direct
0.0000 0.0000 0.0000 Mg
0.0000 0.0000 0.5000 Th
0.8588 0.7175 0.2200 H
0.1412 0.8588 0.7800 H
0.3333 0.6667 0.5856 H
0.7175 0.8588 0.7800 H
0.6667 0.3333 0.4144 H
0.1412 0.2825 0.7800 H
0.2825 0.1412 0.2200 H
0.8588 0.1412 0.2200 H
0.3333 0.6667 0.8360 Ru
0.6667 0.3333 0.1640 Ru
```

---

| no. | final energy (eV per cell) | density (g/cm3) |
| --- | --- | --- |
| 1 | -43.05 | 5.02 |
| 2 | -49.50 | 4.14 |
| 3 | -31.82 | 8.91 |
| 4 | -15.82 | 5.86 |
| 5 | -23.20 | 4.06 |
| 6 | -28.53 | 4.59 |
| 7 | -30.62 | 6.77 |
| 8 | -27.71 | 8.68 |
| 9 | -20.31 | 6.05 |
| 10 | -37.98 | 3.79 |
| 11 | -27.49 | 7.99 |
| 12 | -53.81 | 6.03 |